# 1
# RbSn2P (PBE, relaxed)
# N(E_F), states/eV/f.u.: 2.191
# V, Å³ per cell: 365.18
# Calculated total energy, eV for the cell shown: -42.94
data_RbSn2P
_cell_length_a 3.8320
_cell_length_b 3.8320
_cell_length_c 28.7164
_cell_angle_alpha 90.00
_cell_angle_beta 90.00
_cell_angle_gamma 120.00
_symmetry_space_group_name_H-M 'R -3 m'
_symmetry_Int_Tables_number 166
_symmetry_space_group_name_Hall '-R 3 2"'
loop_
_atom_site_label
_atom_site_fract_x
_atom_site_fract_y
_atom_site_fract_z
Rb1 0.0000 0.0000 0.0000
Sn1 0.0000 0.0000 0.2249
P1 0.0000 0.0000 0.5000

---

# 2
# Rb3SnP (PBE, relaxed)
# N(E_F), states/eV/f.u.: 0.745
# Energy above the most stable polymorph in this dataset, meV per atom: 0
# V, Å³ per cell: 966.44
data_Rb3SnP
_cell_length_a 12.651
_cell_length_b 11.236
_cell_length_c 8.983
_cell_angle_alpha 90.00
_cell_angle_beta 130.81
_cell_angle_gamma 90.00
_symmetry_space_group_name_H-M 'C 1 2/m 1'
_symmetry_Int_Tables_number 12
loop_
_symmetry_equiv_pos_as_xyz
'x,y,z'
'-x,-y,-z'
'-x,y,-z'
'x,-y,z'
'x+1/2,y+1/2,z'
'-x+1/2,-y+1/2,-z'
'-x+1/2,y+1/2,-z'
'x+1/2,-y+1/2,z'
loop_
_atom_site_label
_atom_site_fract_x
_atom_site_fract_y
_atom_site_fract_z
Rb1 0.037 0.200 0.274
Rb2 0.206 0.500 0.149
Sn1 0.186 0.500 0.716
P1 0.044 0.500 0.341

---

# 3
# RbSnP (PBE, relaxed)
# V, Å³ per cell: 289.17
# Calculated total energy, eV for the cell shown: -34.07
data_RbSnP
_cell_length_a 4.0718
_cell_length_b 4.0718
_cell_length_c 20.1395
_cell_angle_alpha 90.00
_cell_angle_beta 90.00
_cell_angle_gamma 120.00
_symmetry_space_group_name_H-M 'R 3 m'
_symmetry_Int_Tables_number 160
_symmetry_space_group_name_Hall 'R 3 -2"'
loop_
_atom_site_label
_atom_site_fract_x
_atom_site_fract_y
_atom_site_fract_z
Rb1 0.0000 0.0000 0.0000
Sn1 0.0000 0.0000 0.5146
P1 0.0000 0.0000 0.7851

---

# 4
# RbSn2P2 (PBE, relaxed)
# N(E_F), states/eV/f.u.: 2.200
# V, Å³ per cell: 268.99
# Calculated total energy, eV for the cell shown: -38.71
data_RbSn2P2
_cell_length_a 8.548
_cell_length_b 8.548
_cell_length_c 3.681
_cell_angle_alpha 90.00
_cell_angle_beta 90.00
_cell_angle_gamma 90.00
_symmetry_space_group_name_H-M 'P 4/m b m'
_symmetry_Int_Tables_number 127
_symmetry_space_group_name_Hall '-P 4 2ab'
loop_
_atom_site_label
_atom_site_fract_x
_atom_site_fract_y
_atom_site_fract_z
Rb1 0.000 0.000 0.000
Sn1 0.133 0.367 0.500
P1 0.124 0.624 0.000

---

# 5
# Rb2SnP (PBE, relaxed)
# N(E_F), states/eV/f.u.: 2.343
# Energy above the most stable polymorph in this dataset, meV per atom: 0
# V, Å³ per cell: 307.20
data_Rb2SnP
_cell_length_a 4.119
_cell_length_b 10.521
_cell_length_c 7.089
_cell_angle_alpha 90.00
_cell_angle_beta 90.00
_cell_angle_gamma 90.00
_symmetry_space_group_name_H-M 'I m m 2'
_symmetry_Int_Tables_number 44
loop_
_symmetry_equiv_pos_as_xyz
'x,y,z'
'-x,-y,z'
'-x,y,z'
'x,-y,z'
'x+1/2,y+1/2,z+1/2'
'-x+1/2,-y+1/2,z+1/2'
'-x+1/2,y+1/2,z+1/2'
'x+1/2,-y+1/2,z+1/2'
loop_
_atom_site_label
_atom_site_fract_x
_atom_site_fract_y
_atom_site_fract_z
Rb1 0.000 0.187 0.000
Sn1 0.000 0.000 0.492
P1 0.000 0.500 0.218

---

# 6
# RbSn2P (PBE, relaxed)
# N(E_F), states/eV/f.u.: 2.080
# V, Å³ per cell: 497.88
# Calculated total energy, eV for the cell shown: -58.71
data_RbSn2P
_cell_length_a 3.708
_cell_length_b 12.781
_cell_length_c 10.505
_cell_angle_alpha 90.00
_cell_angle_beta 90.00
_cell_angle_gamma 90.00
_symmetry_space_group_name_H-M 'C m c m'
_symmetry_Int_Tables_number 63
_symmetry_space_group_name_Hall '-C 2c 2'
loop_
_atom_site_label
_atom_site_fract_x
_atom_site_fract_y
_atom_site_fract_z
Rb1 0.000 0.074 0.250
Sn1 0.000 0.341 0.065
P1 0.000 0.195 0.750

---

# 7
# Rb3SnP (PBE, relaxed)
# N(E_F), states/eV/f.u.: 4.148
# Energy above the most stable polymorph in this dataset, meV per atom: 387
# V, Å³ per cell: 278.09
data_Rb3SnP
_cell_length_a 6.527
_cell_length_b 6.527
_cell_length_c 6.527
_cell_angle_alpha 90.00
_cell_angle_beta 90.00
_cell_angle_gamma 90.00
_symmetry_space_group_name_H-M 'P m -3 m'
_symmetry_Int_Tables_number 221
_symmetry_space_group_name_Hall '-P 4 2 3'
loop_
_atom_site_label
_atom_site_fract_x
_atom_site_fract_y
_atom_site_fract_z
Rb1 0.000 0.000 0.500
Sn1 0.500 0.500 0.500
P1 0.000 0.000 0.000

---

# 8
# RbSn2P (PBE, relaxed)
# N(E_F), states/eV/f.u.: 0.025
# V, Å³ per cell: 584.91
# Calculated total energy, eV for the cell shown: -56.26
data_RbSn2P
_cell_length_a 5.583
_cell_length_b 5.583
_cell_length_c 18.768
_cell_angle_alpha 90.00
_cell_angle_beta 90.00
_cell_angle_gamma 90.00
_symmetry_space_group_name_H-M 'I -4 2 d'
_symmetry_Int_Tables_number 122
_symmetry_space_group_name_Hall 'I -4 2bw'
loop_
_atom_site_label
_atom_site_fract_x
_atom_site_fract_y
_atom_site_fract_z
Rb1 0.000 0.000 0.000
Sn1 0.093 0.250 0.625
P1 0.000 0.000 0.500

---

# 9
# RbSnP (PBE, relaxed)
# V, Å³ per cell: 290.47
# Calculated total energy, eV for the cell shown: -33.91
data_RbSnP
_cell_length_a 4.0458
_cell_length_b 4.0458
_cell_length_c 20.4906
_cell_angle_alpha 90.00
_cell_angle_beta 90.00
_cell_angle_gamma 120.00
_symmetry_space_group_name_H-M 'R 3 m'
_symmetry_Int_Tables_number 160
_symmetry_space_group_name_Hall 'R 3 -2"'
loop_
_atom_site_label
_atom_site_fract_x
_atom_site_fract_y
_atom_site_fract_z
Rb1 0.0000 0.0000 0.0000
Sn1 0.0000 0.0000 0.8144
P1 0.0000 0.0000 0.2103

---

# 10
# RbTc2SnP (PBE, relaxed)
# N(E_F), states/eV/f.u.: 5.176
# V, Å³ per cell: 135.01
# Calculated total energy, eV for the cell shown: -17.36
data_RbTc2SnP
_cell_length_a 4.964
_cell_length_b 4.964
_cell_length_c 5.479
_cell_angle_alpha 90.00
_cell_angle_beta 90.00
_cell_angle_gamma 90.00
_symmetry_space_group_name_H-M 'P 4/m m m'
_symmetry_Int_Tables_number 123
_symmetry_space_group_name_Hall '-P 4 2'
loop_
_atom_site_label
_atom_site_fract_x
_atom_site_fract_y
_atom_site_fract_z
Rb1 0.000 0.000 0.000
Tc1 0.000 0.500 0.000
Sn1 0.500 0.500 0.500
P1 0.000 0.000 0.500

---

# 11
# RbV2SnP (PBE, relaxed)
# N(E_F), states/eV/f.u.: 7.432
# V, Å³ per cell: 152.59
# Calculated total energy, eV for the cell shown: -23.02
data_RbV2SnP
_cell_length_a 5.300
_cell_length_b 5.300
_cell_length_c 5.433
_cell_angle_alpha 90.00
_cell_angle_beta 90.00
_cell_angle_gamma 90.00
_symmetry_space_group_name_H-M 'P 4/m m m'
_symmetry_Int_Tables_number 123
_symmetry_space_group_name_Hall '-P 4 2'
loop_
_atom_site_label
_atom_site_fract_x
_atom_site_fract_y
_atom_site_fract_z
Rb1 0.000 0.000 0.000
V1 0.000 0.500 0.500
Sn1 0.500 0.500 0.500
P1 0.500 0.500 0.000

---

# 12
# RbZrSnP2 (PBE, relaxed)
# N(E_F), states/eV/f.u.: 5.854
# V, Å³ per cell: 157.07
# Calculated total energy, eV for the cell shown: -20.09
data_RbZrSnP2
_cell_length_a 5.354
_cell_length_b 5.354
_cell_length_c 5.480
_cell_angle_alpha 90.00
_cell_angle_beta 90.00
_cell_angle_gamma 90.00
_symmetry_space_group_name_H-M 'P 4/m m m'
_symmetry_Int_Tables_number 123
_symmetry_space_group_name_Hall '-P 4 2'
loop_
_atom_site_label
_atom_site_fract_x
_atom_site_fract_y
_atom_site_fract_z
Rb1 0.000 0.000 0.000
Zr1 0.500 0.500 0.000
Sn1 0.500 0.500 0.500
P1 0.000 0.500 0.500

---

# 13
# RbSrP3 (PBE, relaxed)
# N(E_F), states/eV/f.u.: 4.959
# Energy above the most stable polymorph in this dataset, meV per atom: 434
# V, Å³ per cell: 155.50
data_RbSrP3
_cell_length_a 5.377
_cell_length_b 5.377
_cell_length_c 5.377
_cell_angle_alpha 90.00
_cell_angle_beta 90.00
_cell_angle_gamma 90.00
_symmetry_space_group_name_H-M 'P m -3 m'
_symmetry_Int_Tables_number 221
_symmetry_space_group_name_Hall '-P 4 2 3'
loop_
_atom_site_label
_atom_site_fract_x
_atom_site_fract_y
_atom_site_fract_z
Rb1 0.000 0.000 0.000
Sr1 0.500 0.500 0.500
P1 0.000 0.000 0.500

---

# 14
# RbSrP3 (PBE, relaxed)
# N(E_F), states/eV/f.u.: 3.605
# Energy above the most stable polymorph in this dataset, meV per atom: 0
# V, Å³ per cell: 179.71
data_RbSrP3
_cell_length_a 5.643
_cell_length_b 5.643
_cell_length_c 5.643
_cell_angle_alpha 90.00
_cell_angle_beta 90.00
_cell_angle_gamma 90.00
_symmetry_space_group_name_H-M 'P m -3 m'
_symmetry_Int_Tables_number 221
_symmetry_space_group_name_Hall '-P 4 2 3'
loop_
_atom_site_label
_atom_site_fract_x
_atom_site_fract_y
_atom_site_fract_z
Rb1 0.000 0.000 0.000
Sr1 0.500 0.500 0.500
P1 0.000 0.500 0.500

---

# 15
# Rb2SrP (PBE, relaxed)
# N(E_F), states/eV/f.u.: 2.401
# V, Å³ per cell: 968.85
# Calculated total energy, eV for the cell shown: -39.11
data_Rb2SrP
_cell_length_a 12.876
_cell_length_b 12.876
_cell_length_c 5.844
_cell_angle_alpha 90.00
_cell_angle_beta 90.00
_cell_angle_gamma 90.00
_symmetry_space_group_name_H-M 'I -4 2 d'
_symmetry_Int_Tables_number 122
_symmetry_space_group_name_Hall 'I -4 2bw'
loop_
_atom_site_label
_atom_site_fract_x
_atom_site_fract_y
_atom_site_fract_z
Rb1 0.088 0.250 0.125
Sr1 0.000 0.000 0.500
P1 0.000 0.000 0.000

---

# 16
# Rb2SrP2 (PBE, relaxed)
# N(E_F), states/eV/f.u.: 2.079
# V, Å³ per cell: 337.36
# Calculated total energy, eV for the cell shown: -32.58
data_Rb2SrP2
_cell_length_a 7.699
_cell_length_b 7.699
_cell_length_c 5.692
_cell_angle_alpha 90.00
_cell_angle_beta 90.00
_cell_angle_gamma 90.00
_symmetry_space_group_name_H-M 'P 4/m b m'
_symmetry_Int_Tables_number 127
_symmetry_space_group_name_Hall '-P 4 2ab'
loop_
_atom_site_label
_atom_site_fract_x
_atom_site_fract_y
_atom_site_fract_z
Rb1 0.165 0.335 0.000
Sr1 0.000 0.000 0.500
P1 0.103 0.603 0.500

---

# 17
# RbSrP (PBE, relaxed)
# N(E_F), states/eV/f.u.: 4.068
# V, Å³ per cell: 134.12
# Calculated total energy, eV for the cell shown: -9.55
data_RbSrP
_cell_length_a 4.9238
_cell_length_b 4.9238
_cell_length_c 6.3880
_cell_angle_alpha 90.00
_cell_angle_beta 90.00
_cell_angle_gamma 120.00
_symmetry_space_group_name_H-M 'P 3 m 1'
_symmetry_Int_Tables_number 156
loop_
_symmetry_equiv_pos_as_xyz
'x,y,z'
'-y,x-y,z'
'-x+y,-x,z'
'-y,-x,z'
'-x+y,y,z'
'x,x-y,z'
loop_
_atom_site_label
_atom_site_fract_x
_atom_site_fract_y
_atom_site_fract_z
Rb1 0.0000 0.0000 0.0000
Sr1 0.3333 0.6667 0.5570
P1 0.6667 0.3333 0.6841

---

# 18
# RbSrP (PBE, relaxed)
# N(E_F), states/eV/f.u.: 0.150
# V, Å³ per cell: 461.65
# Calculated total energy, eV for the cell shown: -40.07
data_RbSrP
_cell_length_a 5.390
_cell_length_b 5.390
_cell_length_c 15.891
_cell_angle_alpha 90.00
_cell_angle_beta 90.00
_cell_angle_gamma 90.00
_symmetry_space_group_name_H-M 'I 4/m m m'
_symmetry_Int_Tables_number 139
_symmetry_space_group_name_Hall '-I 4 2'
loop_
_atom_site_label
_atom_site_fract_x
_atom_site_fract_y
_atom_site_fract_z
Rb1 0.000 0.500 0.000
Sr1 0.000 0.500 0.250
P1 0.000 0.000 0.154

---

# 19
# RbSrTiP2 (PBE, relaxed)
# N(E_F), states/eV/f.u.: 5.293
# V, Å³ per cell: 134.27
# Calculated total energy, eV for the cell shown: -21.39
data_RbSrTiP2
_cell_length_a 4.983
_cell_length_b 4.983
_cell_length_c 5.407
_cell_angle_alpha 90.00
_cell_angle_beta 90.00
_cell_angle_gamma 90.00
_symmetry_space_group_name_H-M 'P 4/m m m'
_symmetry_Int_Tables_number 123
_symmetry_space_group_name_Hall '-P 4 2'
loop_
_atom_site_label
_atom_site_fract_x
_atom_site_fract_y
_atom_site_fract_z
Rb1 0.000 0.000 0.000
Sr1 0.500 0.500 0.000
Ti1 0.500 0.500 0.500
P1 0.000 0.500 0.500

---

# 20
# Rb2SrZnP2 (PBE, relaxed)
# V, Å³ per cell: 746.34
# Calculated total energy, eV for the cell shown: -74.70
data_Rb2SrZnP2
_cell_length_a 7.009
_cell_length_b 15.241
_cell_length_c 6.987
_cell_angle_alpha 90.00
_cell_angle_beta 90.00
_cell_angle_gamma 90.00
_symmetry_space_group_name_H-M 'I b a m'
_symmetry_Int_Tables_number 72
_symmetry_space_group_name_Hall '-I 2 2c'
loop_
_atom_site_label
_atom_site_fract_x
_atom_site_fract_y
_atom_site_fract_z
Rb1 0.208 0.182 0.000
Sr1 0.000 0.500 0.250
Zn1 0.000 0.000 0.250
P1 0.206 0.084 0.500